Below is a relaxed structure of Li11Fe12B12O36, with properties calculated at the PBE+U level.

a b c (Å): 9.0326 9.0119 11.5796
angles (deg): 88.99 113.15 119.67
Element x y z (fractional)
O 0.7637 0.2640 0.5939
O 0.0946 0.7680 0.0980
B 0.6180 0.7161 0.8696
Fe 0.6985 0.4473 0.6342
O 0.5778 0.4172 0.4146
B 0.7024 0.9325 0.1321
O 0.5056 0.7907 0.8405
O 0.1276 0.3017 0.3451
Fe 0.6617 0.0580 0.8780
O 0.2013 0.1347 0.8388
O 0.4847 0.1515 0.8607
O 0.9199 0.2675 0.9256
Li 0.6532 0.9163 0.4152
O 0.8022 0.6453 0.3514
Fe 0.9678 0.9016 0.3788
O 0.2021 0.1736 0.1431
O 0.4286 0.5920 0.5896
O 0.1561 0.5406 0.1677
O 0.8815 0.7116 0.6570
B 0.0195 0.7629 0.6155
B 0.9699 0.4166 0.8762
O 0.0885 0.9246 0.5758
B 0.9725 0.2344 0.3711
O 0.4947 0.2073 0.1676
Li 0.3239 0.2465 0.4076
O 0.8827 0.3245 0.3609
Li 0.0458 0.4462 0.6674
Li 0.7097 0.7823 0.6655
Li 0.3883 0.1146 0.6684
O 0.7761 0.7974 0.8491
O 0.8491 0.4976 0.1119
B 0.0342 0.6028 0.1264
O 0.0905 0.6601 0.6080
O 0.5509 0.0315 0.6622
O 0.4524 0.9721 0.3473
Fe 0.3770 0.9425 0.1320
O 0.2005 0.9847 0.3625
Li 0.9912 0.5752 0.4141
O 0.2071 0.3653 0.6550
B 0.3196 0.0688 0.8749
O 0.2625 0.9135 0.9198
O 0.4251 0.3241 0.6083
B 0.6934 0.0977 0.6217
Li 0.4000 0.6150 0.1682
Li 0.6671 0.4084 0.9083
O 0.9017 0.0703 0.4048
Fe 0.6990 0.5957 0.1240
Fe 0.9869 0.7628 0.8852
Li 0.3379 0.7454 0.9165
Li 0.0617 0.9448 0.1615
O 0.7619 0.9954 0.6052
O 0.4261 0.4317 0.1034
O 0.8541 0.4854 0.8402
Fe 0.0438 0.2729 0.1239
B 0.2979 0.8978 0.3756
Fe 0.0363 0.1060 0.6399
Li 0.7333 0.2767 0.1601
Fe 0.2885 0.3857 0.8905
B 0.3539 0.4266 0.6195
O 0.2361 0.7411 0.4143
O 0.7671 0.0932 0.0993
O 0.5547 0.6683 0.3629
Fe 0.3581 0.7668 0.6297
B 0.6420 0.5749 0.3776
Fe 0.3109 0.5677 0.3806
O 0.8245 0.8673 0.1793
O 0.5667 0.5655 0.9191
O 0.5179 0.8299 0.1172
Fe 0.6477 0.2390 0.3841
O 0.1369 0.4987 0.8618
B 0.3726 0.2694 0.1381

Computed properties:
As for the symmetry: P1, No. 1. Its volume is 734 Å³/f.u. As for the total energy: -6.94 eV/atom.